# 1
Below is K2Na after structural relaxation, with properties calculated at the GGA-PBE level.

abc: 8.167 8.167 8.167
angles: 60.00 60.00 60.00
Atoms (fractional coordinates):
Na  0.000  0.000  0.000
Na  0.250  0.250  0.250
K  0.125  0.625  0.625
K  0.625  0.125  0.625
K  0.625  0.625  0.625
K  0.625  0.625  0.125

Space-group type   No. 227
Crystal system   cubic
E_tot   -1.042 eV per atom
ΔE_f   0.13 eV/atom
Spin magnetization   0.0 μB per cell
Volume   64.2 Å³/atom

---

# 2
Below is KNa3 after structural relaxation, with properties calculated at the GGA-PBE level.

abc: 7.254 7.254 12.682
angles: 90.40 106.80 118.83
Atoms (fractional coordinates):
K  0.285  0.142  0.427
K  0.715  0.858  0.573
K  0.000  0.000  0.000
Na  0.665  0.081  0.248
Na  0.166  0.583  0.248
Na  0.666  0.584  0.250
Na  0.000  0.500  0.500
Na  0.334  0.666  0.000
Na  0.666  0.334  0.000
Na  0.834  0.417  0.752
Na  0.335  0.919  0.752
Na  0.334  0.416  0.750

Space-group type   No. 12
Crystal system   monoclinic
E_tot   -1.251 eV per atom
ΔE_f   0.01 eV/atom
Spin magnetization   0.0 μB per cell
Volume   45.9 Å³/atom

---

# 3
Below is K4Na after structural relaxation, with properties calculated at the GGA-PBE level.

abc: 7.196 7.196 7.196
angles: 90.00 90.00 90.00
Atoms (fractional coordinates):
Na  0.500  0.500  0.500
K  0.000  0.000  0.000
K  0.500  0.000  0.500
K  0.000  0.500  0.500
K  0.500  0.500  0.000

Space-group type   No. 221
Crystal system   cubic
E_tot   -1.043 eV per atom
ΔE_f   0.10 eV/atom
Spin magnetization   0.0 μB per cell
Volume   74.5 Å³/atom

---

# 4
Below is K3Na5 after structural relaxation, with properties calculated at the GGA-PBE level.

abc: 5.920 5.920 11.915
angles: 104.39 104.39 90.00
Atoms (fractional coordinates):
K  0.118  0.118  0.236
K  0.882  0.882  0.764
K  0.250  0.750  0.500
Na  0.613  0.613  0.226
Na  0.001  0.501  0.003
Na  0.387  0.387  0.774
Na  0.750  0.250  0.500
Na  0.499  0.999  0.997

Space-group type   No. 119
Crystal system   tetragonal
E_tot   -1.207 eV per atom
ΔE_f   0.03 eV/atom
Spin magnetization   0.0 μB per cell
Volume   48.9 Å³/atom

---

# 5
Below is K5Na6 after structural relaxation, with properties calculated at the GGA-PBE level.

abc: 6.694 9.538 10.933
angles: 116.85 109.15 87.12
Atoms (fractional coordinates):
K  0.000  0.500  0.000
K  0.657  0.657  0.314
K  0.343  0.343  0.686
K  0.293  0.793  0.586
K  0.707  0.207  0.414
Na  0.488  0.813  0.000
Na  0.512  0.187  0.000
Na  0.888  0.064  0.769
Na  0.881  0.705  0.769
Na  0.112  0.936  0.231
Na  0.119  0.295  0.231

Space-group type   No. 12
Crystal system   monoclinic
E_tot   -1.171 eV per atom
ΔE_f   0.05 eV/atom
Spin magnetization   0.0 μB per cell
Volume   53.1 Å³/atom

---

# 6
Below is K7Na5 after structural relaxation, with properties calculated at the GGA-PBE level.

abc: 6.642 6.767 18.194
angles: 100.48 90.00 119.39
Atoms (fractional coordinates):
K  0.218  0.436  0.665
K  0.782  0.564  0.335
K  0.073  0.147  0.220
K  0.927  0.853  0.780
K  0.690  0.380  0.070
K  0.500  0.000  0.500
K  0.310  0.620  0.930
Na  0.153  0.305  0.445
Na  0.847  0.695  0.555
Na  0.389  0.779  0.173
Na  0.611  0.221  0.827
Na  0.000  0.000  0.000

Space-group type   No. 12
Crystal system   monoclinic
E_tot   -1.149 eV per atom
ΔE_f   0.04 eV/atom
Spin magnetization   0.0 μB per cell
Volume   58.1 Å³/atom

---

# 7
Below is KNa8 after structural relaxation, with properties calculated at the GGA-PBE level.

abc: 5.616 8.530 8.530
angles: 83.78 70.78 70.78
Atoms (fractional coordinates):
K  0.000  0.000  0.000
Na  0.324  0.000  0.353
Na  0.676  0.000  0.647
Na  0.676  0.647  0.000
Na  0.000  0.658  0.342
Na  0.342  0.658  0.658
Na  0.658  0.342  0.342
Na  0.000  0.342  0.658
Na  0.324  0.353  0.000

Space-group type   No. 139
Crystal system   tetragonal
E_tot   -1.274 eV per atom
ΔE_f   0.02 eV/atom
Spin magnetization   0.0 μB per cell
Volume   40.5 Å³/atom

---

# 8
Below is KNa3 after structural relaxation, with properties calculated at the GGA-PBE level.

abc: 4.318 6.499 7.481
angles: 115.74 106.77 90.00
Atoms (fractional coordinates):
Na  0.230  0.645  0.460
Na  0.500  0.419  0.000
Na  0.770  0.184  0.540
K  0.000  0.919  0.000

Space-group type   No. 44
Crystal system   orthorhombic
E_tot   -1.232 eV per atom
ΔE_f   0.03 eV/atom
Spin magnetization   0.0 μB per cell
Volume   44.8 Å³/atom

---

The highest ΔE_f belongs to which entry? K2Na

---

The lowest E_tot belongs to which entry? KNa8

---

Which value of volume does entry 1 give? 64.2 Å³/atom